# PBE Mn2BrCl, optimized geometry
# Crystal system: tetragonal
# Size of the total moment: 0.92 μB/f.u.
# Uncorrected formation energy: 0.662 eV/atom
data_Mn2BrCl
_symmetry_space_group_name_H-M 'I -4 2 d'
_symmetry_Int_Tables_number 122
_symmetry_space_group_name_Hall 'I -4 2bw'
_cell_length_a 5.125
_cell_length_b 5.125
_cell_length_c 10.714
_cell_angle_alpha 90.00
_cell_angle_beta 90.00
_cell_angle_gamma 90.00
loop_
_atom_site_label
_atom_site_type_symbol
_atom_site_fract_x
_atom_site_fract_y
_atom_site_fract_z
Mn1 Mn 0.208 0.250 0.125
Br1 Br 0.000 0.000 0.500
Cl1 Cl 0.000 0.000 0.000

***

# PBE Mn2BrCl, optimized geometry
# Crystal system: tetragonal
# Size of the total moment: 8.14 μB/f.u.
# Uncorrected formation energy: 0.193 eV/atom
data_Mn2BrCl
_symmetry_space_group_name_H-M 'P 4/m m m'
_symmetry_Int_Tables_number 123
_symmetry_space_group_name_Hall '-P 4 2'
_cell_length_a 3.308
_cell_length_b 3.308
_cell_length_c 6.543
_cell_angle_alpha 90.00
_cell_angle_beta 90.00
_cell_angle_gamma 90.00
loop_
_atom_site_label
_atom_site_type_symbol
_atom_site_fract_x
_atom_site_fract_y
_atom_site_fract_z
Mn1 Mn 0.000 0.000 0.233
Br1 Br 0.500 0.500 0.500
Cl1 Cl 0.500 0.500 0.000

***

# PBE Mn3BrCl, optimized geometry
# Crystal system: cubic
# Size of the total moment: 11.01 μB/f.u.
# Uncorrected formation energy: 0.764 eV/atom
data_Mn3BrCl
_symmetry_space_group_name_H-M 'P m -3 m'
_symmetry_Int_Tables_number 221
_symmetry_space_group_name_Hall '-P 4 2 3'
_cell_length_a 4.553
_cell_length_b 4.553
_cell_length_c 4.553
_cell_angle_alpha 90.00
_cell_angle_beta 90.00
_cell_angle_gamma 90.00
loop_
_atom_site_label
_atom_site_type_symbol
_atom_site_fract_x
_atom_site_fract_y
_atom_site_fract_z
Mn1 Mn 0.000 0.000 0.500
Br1 Br 0.500 0.500 0.500
Cl1 Cl 0.000 0.000 0.000

***

# PBE Mn2BrCl, optimized geometry
# Crystal system: tetragonal
# Size of the total moment: 8.10 μB/f.u.
# Uncorrected formation energy: -0.185 eV/atom
data_Mn2BrCl
_symmetry_space_group_name_H-M 'P 4 m m'
_symmetry_Int_Tables_number 99
_cell_length_a 3.325
_cell_length_b 3.325
_cell_length_c 7.650
_cell_angle_alpha 90.00
_cell_angle_beta 90.00
_cell_angle_gamma 90.00
loop_
_symmetry_equiv_pos_as_xyz
'x,y,z'
'-y,x,z'
'-x,-y,z'
'y,-x,z'
'-x,y,z'
'y,x,z'
'x,-y,z'
'-y,-x,z'
loop_
_atom_site_label
_atom_site_type_symbol
_atom_site_fract_x
_atom_site_fract_y
_atom_site_fract_z
Mn1 Mn 0.000 0.000 0.000
Mn2 Mn 0.500 0.500 0.208
Br1 Br 0.000 0.000 0.393
Cl1 Cl 0.500 0.500 0.841

***

# PBE Mn2BrCl, optimized geometry
# Crystal system: orthorhombic
# Size of the total moment: 8.62 μB/f.u.
# Uncorrected formation energy: -0.167 eV/atom
data_Mn2BrCl
_symmetry_space_group_name_H-M 'C m m 2'
_symmetry_Int_Tables_number 35
_cell_length_a 3.701
_cell_length_b 5.632
_cell_length_c 9.103
_cell_angle_alpha 90.00
_cell_angle_beta 90.00
_cell_angle_gamma 90.00
loop_
_symmetry_equiv_pos_as_xyz
'x,y,z'
'-x,-y,z'
'-x,y,z'
'x,-y,z'
'x+1/2,y+1/2,z'
'-x+1/2,-y+1/2,z'
'-x+1/2,y+1/2,z'
'x+1/2,-y+1/2,z'
loop_
_atom_site_label
_atom_site_type_symbol
_atom_site_fract_x
_atom_site_fract_y
_atom_site_fract_z
Mn1 Mn 0.000 0.000 0.000
Mn2 Mn 0.000 0.500 0.232
Br1 Br 0.000 0.000 0.418
Cl1 Cl 0.000 0.500 0.834

***

# PBE MnBrCl2, optimized geometry
# Crystal system: orthorhombic
# Size of the total moment: 4.21 μB/f.u.
# Uncorrected formation energy: -0.519 eV/atom
data_MnBrCl2
_symmetry_space_group_name_H-M 'I m m 2'
_symmetry_Int_Tables_number 44
_cell_length_a 3.267
_cell_length_b 5.910
_cell_length_c 11.312
_cell_angle_alpha 90.00
_cell_angle_beta 90.00
_cell_angle_gamma 90.00
loop_
_symmetry_equiv_pos_as_xyz
'x,y,z'
'-x,-y,z'
'-x,y,z'
'x,-y,z'
'x+1/2,y+1/2,z+1/2'
'-x+1/2,-y+1/2,z+1/2'
'-x+1/2,y+1/2,z+1/2'
'x+1/2,-y+1/2,z+1/2'
loop_
_atom_site_label
_atom_site_type_symbol
_atom_site_fract_x
_atom_site_fract_y
_atom_site_fract_z
Mn1 Mn 0.000 0.000 0.000
Br1 Br 0.000 0.500 0.664
Cl1 Cl 0.000 0.000 0.497
Cl2 Cl 0.000 0.500 0.353

***

# PBE Mn2BrCl, optimized geometry
# Crystal system: orthorhombic
# Size of the total moment: 8.82 μB/f.u.
# Uncorrected formation energy: -0.020 eV/atom
data_Mn2BrCl
_symmetry_space_group_name_H-M 'I m m 2'
_symmetry_Int_Tables_number 44
_cell_length_a 3.351
_cell_length_b 7.466
_cell_length_c 9.470
_cell_angle_alpha 90.00
_cell_angle_beta 90.00
_cell_angle_gamma 90.00
loop_
_symmetry_equiv_pos_as_xyz
'x,y,z'
'-x,-y,z'
'-x,y,z'
'x,-y,z'
'x+1/2,y+1/2,z+1/2'
'-x+1/2,-y+1/2,z+1/2'
'-x+1/2,y+1/2,z+1/2'
'x+1/2,-y+1/2,z+1/2'
loop_
_atom_site_label
_atom_site_type_symbol
_atom_site_fract_x
_atom_site_fract_y
_atom_site_fract_z
Mn1 Mn 0.000 0.000 0.000
Mn2 Mn 0.000 0.500 0.259
Br1 Br 0.000 0.500 0.699
Cl1 Cl 0.000 0.000 0.581

***

# PBE MnBrCl2, optimized geometry
# Crystal system: trigonal
# Size of the total moment: 4.85 μB/f.u.
# Uncorrected formation energy: -0.107 eV/atom
data_MnBrCl2
_symmetry_space_group_name_H-M 'R -3 m'
_symmetry_Int_Tables_number 166
_symmetry_space_group_name_Hall '-R 3 2"'
_cell_length_a 3.5638
_cell_length_b 3.5638
_cell_length_c 36.5779
_cell_angle_alpha 90.00
_cell_angle_beta 90.00
_cell_angle_gamma 120.00
loop_
_atom_site_label
_atom_site_type_symbol
_atom_site_fract_x
_atom_site_fract_y
_atom_site_fract_z
Mn1 Mn 0.0000 0.0000 0.0000
Br1 Br 0.0000 0.0000 0.5000
Cl1 Cl 0.0000 0.0000 0.0584

***

# PBE Mn2BrCl, optimized geometry
# Crystal system: orthorhombic
# Size of the total moment: 8.28 μB/f.u.
# Uncorrected formation energy: 0.106 eV/atom
data_Mn2BrCl
_symmetry_space_group_name_H-M 'C m m m'
_symmetry_Int_Tables_number 65
_symmetry_space_group_name_Hall '-C 2 2'
_cell_length_a 3.306
_cell_length_b 6.088
_cell_length_c 8.169
_cell_angle_alpha 90.00
_cell_angle_beta 90.00
_cell_angle_gamma 90.00
loop_
_atom_site_label
_atom_site_type_symbol
_atom_site_fract_x
_atom_site_fract_y
_atom_site_fract_z
Mn1 Mn 0.000 0.000 0.242
Br1 Br 0.000 0.500 0.500
Cl1 Cl 0.000 0.500 0.000

***

# PBE Mn2BrCl, optimized geometry
# Crystal system: cubic
# Size of the total moment: 8.54 μB/f.u.
# Uncorrected formation energy: 0.595 eV/atom
data_Mn2BrCl
_symmetry_space_group_name_H-M 'F -4 3 m'
_symmetry_Int_Tables_number 216
_symmetry_space_group_name_Hall 'F -4 2 3'
_cell_length_a 6.878
_cell_length_b 6.878
_cell_length_c 6.878
_cell_angle_alpha 90.00
_cell_angle_beta 90.00
_cell_angle_gamma 90.00
loop_
_atom_site_label
_atom_site_type_symbol
_atom_site_fract_x
_atom_site_fract_y
_atom_site_fract_z
Mn1 Mn 0.000 0.000 0.000
Mn2 Mn 0.250 0.250 0.250
Br1 Br 0.250 0.250 0.750
Cl1 Cl 0.000 0.000 0.500

***

# PBE MnBrCl2, optimized geometry
# Crystal system: orthorhombic
# Size of the total moment: 4.96 μB/f.u.
# Uncorrected formation energy: 0.030 eV/atom
data_MnBrCl2
_symmetry_space_group_name_H-M 'P m m m'
_symmetry_Int_Tables_number 47
_cell_length_a 3.847
_cell_length_b 4.148
_cell_length_c 5.598
_cell_angle_alpha 90.00
_cell_angle_beta 90.00
_cell_angle_gamma 90.00
loop_
_symmetry_equiv_pos_as_xyz
'x,y,z'
'-x,-y,-z'
'-x,-y,z'
'x,y,-z'
'x,-y,-z'
'-x,y,z'
'-x,y,-z'
'x,-y,z'
loop_
_atom_site_label
_atom_site_type_symbol
_atom_site_fract_x
_atom_site_fract_y
_atom_site_fract_z
Mn1 Mn 0.000 0.000 0.000
Br1 Br 0.500 0.000 0.500
Cl1 Cl 0.000 0.500 0.500
Cl2 Cl 0.500 0.500 0.000

***

# PBE MnBrCl2, optimized geometry
# Crystal system: trigonal
# Size of the total moment: 5.37 μB/f.u.
# Uncorrected formation energy: -0.610 eV/atom
data_MnBrCl2
_symmetry_space_group_name_H-M 'R -3 m'
_symmetry_Int_Tables_number 166
_symmetry_space_group_name_Hall '-R 3 2"'
_cell_length_a 3.5512
_cell_length_b 3.5512
_cell_length_c 31.6279
_cell_angle_alpha 90.00
_cell_angle_beta 90.00
_cell_angle_gamma 120.00
loop_
_atom_site_label
_atom_site_type_symbol
_atom_site_fract_x
_atom_site_fract_y
_atom_site_fract_z
Mn1 Mn 0.0000 0.0000 0.0000
Br1 Br 0.0000 0.0000 0.5000
Cl1 Cl 0.0000 0.0000 0.2878

***

# PBE Mn2BrCl, optimized geometry
# Crystal system: monoclinic
# Size of the total moment: 8.11 μB/f.u.
# Uncorrected formation energy: -0.185 eV/atom
data_Mn2BrCl
_symmetry_space_group_name_H-M 'P 1 m 1'
_symmetry_Int_Tables_number 6
_cell_length_a 3.322
_cell_length_b 3.321
_cell_length_c 7.877
_cell_angle_alpha 90.00
_cell_angle_beta 95.51
_cell_angle_gamma 90.00
loop_
_symmetry_equiv_pos_as_xyz
'x,y,z'
'x,-y,z'
loop_
_atom_site_label
_atom_site_type_symbol
_atom_site_fract_x
_atom_site_fract_y
_atom_site_fract_z
Mn1 Mn 0.000 0.000 0.000
Mn2 Mn 0.454 0.500 0.796
Br1 Br 0.915 0.000 0.615
Cl1 Cl 0.534 0.500 0.156

***

# PBE MnBrCl2, optimized geometry
# Crystal system: orthorhombic
# Size of the total moment: 4.93 μB/f.u.
# Uncorrected formation energy: -0.460 eV/atom
data_MnBrCl2
_symmetry_space_group_name_H-M 'C m m m'
_symmetry_Int_Tables_number 65
_symmetry_space_group_name_Hall '-C 2 2'
_cell_length_a 3.656
_cell_length_b 5.609
_cell_length_c 10.855
_cell_angle_alpha 90.00
_cell_angle_beta 90.00
_cell_angle_gamma 90.00
loop_
_atom_site_label
_atom_site_type_symbol
_atom_site_fract_x
_atom_site_fract_y
_atom_site_fract_z
Mn1 Mn 0.000 0.000 0.000
Br1 Br 0.000 0.000 0.500
Cl1 Cl 0.000 0.500 0.148

***

# PBE MnBrCl2, optimized geometry
# Crystal system: orthorhombic
# Size of the total moment: 4.00 μB/f.u.
# Uncorrected formation energy: -0.769 eV/atom
data_MnBrCl2
_symmetry_space_group_name_H-M 'C m m m'
_symmetry_Int_Tables_number 65
_symmetry_space_group_name_Hall '-C 2 2'
_cell_length_a 5.134
_cell_length_b 12.896
_cell_length_c 3.495
_cell_angle_alpha 90.00
_cell_angle_beta 90.00
_cell_angle_gamma 90.00
loop_
_atom_site_label
_atom_site_type_symbol
_atom_site_fract_x
_atom_site_fract_y
_atom_site_fract_z
Mn1 Mn 0.000 0.000 0.000
Br1 Br 0.000 0.500 0.000
Cl1 Cl 0.000 0.126 0.500

***

# PBE Mn2BrCl2, optimized geometry
# Crystal system: tetragonal
# Size of the total moment: 5.27 μB/f.u.
# Uncorrected formation energy: 0.018 eV/atom
data_Mn2BrCl2
_symmetry_space_group_name_H-M 'I 4/m m m'
_symmetry_Int_Tables_number 139
_symmetry_space_group_name_Hall '-I 4 2'
_cell_length_a 3.468
_cell_length_b 3.468
_cell_length_c 18.295
_cell_angle_alpha 90.00
_cell_angle_beta 90.00
_cell_angle_gamma 90.00
loop_
_atom_site_label
_atom_site_type_symbol
_atom_site_fract_x
_atom_site_fract_y
_atom_site_fract_z
Mn1 Mn 0.000 0.500 0.250
Br1 Br 0.000 0.000 0.000
Cl1 Cl 0.000 0.000 0.341

***

# PBE Mn2BrCl, optimized geometry
# Crystal system: monoclinic
# Size of the total moment: 2.25 μB/f.u.
# Uncorrected formation energy: 0.341 eV/atom
data_Mn2BrCl
_symmetry_space_group_name_H-M 'C 1 2/m 1'
_symmetry_Int_Tables_number 12
_cell_length_a 8.936
_cell_length_b 3.233
_cell_length_c 7.066
_cell_angle_alpha 90.00
_cell_angle_beta 128.83
_cell_angle_gamma 90.00
loop_
_symmetry_equiv_pos_as_xyz
'x,y,z'
'-x,-y,-z'
'-x,y,-z'
'x,-y,z'
'x+1/2,y+1/2,z'
'-x+1/2,-y+1/2,-z'
'-x+1/2,y+1/2,-z'
'x+1/2,-y+1/2,z'
loop_
_atom_site_label
_atom_site_type_symbol
_atom_site_fract_x
_atom_site_fract_y
_atom_site_fract_z
Mn1 Mn 0.226 0.000 0.388
Br1 Br 0.000 0.500 0.000
Cl1 Cl 0.000 0.000 0.500

***

# PBE MnBrCl2, optimized geometry
# Crystal system: orthorhombic
# Size of the total moment: 4.01 μB/f.u.
# Uncorrected formation energy: -0.348 eV/atom
data_MnBrCl2
_symmetry_space_group_name_H-M 'C m m 2'
_symmetry_Int_Tables_number 35
_cell_length_a 3.495
_cell_length_b 9.818
_cell_length_c 8.778
_cell_angle_alpha 90.00
_cell_angle_beta 90.00
_cell_angle_gamma 90.00
loop_
_symmetry_equiv_pos_as_xyz
'x,y,z'
'-x,-y,z'
'-x,y,z'
'x,-y,z'
'x+1/2,y+1/2,z'
'-x+1/2,-y+1/2,z'
'-x+1/2,y+1/2,z'
'x+1/2,-y+1/2,z'
loop_
_atom_site_label
_atom_site_type_symbol
_atom_site_fract_x
_atom_site_fract_y
_atom_site_fract_z
Mn1 Mn 0.000 0.000 0.000
Br1 Br 0.000 0.500 0.204
Cl1 Cl 0.000 0.000 0.485
Cl2 Cl 0.000 0.500 0.820

***

# PBE Mn2BrCl, optimized geometry
# Crystal system: cubic
# Size of the total moment: 0.00 μB/f.u.
# Uncorrected formation energy: 0.979 eV/atom
data_Mn2BrCl
_symmetry_space_group_name_H-M 'F m -3 m'
_symmetry_Int_Tables_number 225
_symmetry_space_group_name_Hall '-F 4 2 3'
_cell_length_a 6.032
_cell_length_b 6.032
_cell_length_c 6.032
_cell_angle_alpha 90.00
_cell_angle_beta 90.00
_cell_angle_gamma 90.00
loop_
_atom_site_label
_atom_site_type_symbol
_atom_site_fract_x
_atom_site_fract_y
_atom_site_fract_z
Mn1 Mn 0.250 0.250 0.250
Br1 Br 0.000 0.000 0.000
Cl1 Cl 0.000 0.000 0.500

***

# PBE Mn2BrCl, optimized geometry
# Crystal system: orthorhombic
# Size of the total moment: 8.24 μB/f.u.
# Uncorrected formation energy: 0.096 eV/atom
data_Mn2BrCl
_symmetry_space_group_name_H-M 'I m m m'
_symmetry_Int_Tables_number 71
_symmetry_space_group_name_Hall '-I 2 2'
_cell_length_a 3.308
_cell_length_b 6.038
_cell_length_c 8.154
_cell_angle_alpha 90.00
_cell_angle_beta 90.00
_cell_angle_gamma 90.00
loop_
_atom_site_label
_atom_site_type_symbol
_atom_site_fract_x
_atom_site_fract_y
_atom_site_fract_z
Mn1 Mn 0.000 0.000 0.238
Br1 Br 0.000 0.500 0.000
Cl1 Cl 0.000 0.500 0.500